# 1
## Nd5MgSc (PBE)

Data for a relaxed Nd5MgSc crystal.

Results
Space-group type   P4/mmm (123)
Crystal system   tetragonal
Calculated formation energy   0.2085 eV/atom
Raw total energy   -30.31 eV per formula unit

Lattice parameters (Å, degrees): 5.4594 5.4594 7.9512 90.00 90.00 90.00
Closest atoms and distances in Å follow each position.
Sites, in units of the cell vectors:
1 Nd 0.0000 0.0000 0.0000  8 Nd 3.54, 4 Mg 3.86
2 Nd 0.0000 0.5000 0.2831  2 Sc 3.23, 3 Nd 3.45-3.54, 2 Mg 3.54
3 Nd 0.0000 0.5000 0.7169  2 Sc 3.23, 3 Nd 3.45-3.54, 2 Mg 3.54
4 Nd 0.5000 0.0000 0.2831  2 Sc 3.23, 3 Nd 3.45-3.54, 2 Mg 3.54
5 Nd 0.5000 0.0000 0.7169  2 Sc 3.23, 3 Nd 3.45-3.54, 2 Mg 3.54
6 Mg 0.5000 0.5000 0.0000  12 Nd 3.54-3.86
7 Sc 0.0000 0.0000 0.5000  8 Nd 3.23



# 2
## Nd3Mg3Sc2 (PBE)

Data for a relaxed Nd3Mg3Sc2 crystal.

Results
Space-group type   Immm (71)
Crystal system   orthorhombic
Calculated formation energy   -0.0407 eV/atom
Raw total energy   -32.08 eV per formula unit

Lattice parameters (Å, degrees): 11.5273 11.5273 11.5273 161.55 152.46 33.36
Closest atoms and distances in Å follow each position.
Sites, in units of the cell vectors:
1 Nd 0.0000 0.0000 0.0000  8 Mg 3.31-3.34, 2 Nd 3.70
2 Nd 0.3702 0.8702 0.5000  6 Mg 3.31-3.41, 4 Sc 3.45-3.64, 2 Nd 3.70
3 Nd 0.6298 0.1298 0.5000  6 Mg 3.31-3.41, 4 Sc 3.45-3.64, 2 Nd 3.70
4 Mg 0.1257 0.6257 0.5000  2 Sc 3.10, 6 Nd 3.31-3.34
5 Mg 0.5000 0.5000 0.0000  8 Nd 3.31-3.41, 2 Mg 3.70
6 Mg 0.8743 0.3743 0.5000  2 Sc 3.10, 6 Nd 3.31-3.34
7 Sc 0.2383 0.2383 0.0000  2 Mg 3.10, 4 Sc 3.35, 2 Nd 3.45
8 Sc 0.7617 0.7617 0.0000  2 Mg 3.10, 4 Sc 3.35, 2 Nd 3.45



> Number 1 is which compound?

Nd5MgSc